VASP calculation (PBE) on a relaxed structure of AgAsPb3.

Results
**Total magnetization**: 0.0 Bohr magnetons per cell
**E above lowest polymorph**: 0 meV per atom
**Energy of formation from the pure elements**: 0.5164 eV/atom

Geometry as CIF:
```
data_AgAsPb3
_symmetry_space_group_name_H-M 'P m -3 m'
_symmetry_Int_Tables_number 221
_symmetry_space_group_name_Hall '-P 4 2 3'
_cell_length_a 5.446
_cell_length_b 5.446
_cell_length_c 5.446
_cell_angle_alpha 90.00
_cell_angle_beta 90.00
_cell_angle_gamma 90.00
loop_
_atom_site_label
_atom_site_type_symbol
_atom_site_fract_x
_atom_site_fract_y
_atom_site_fract_z
Ag1 Ag 0.000 0.000 0.000
As1 As 0.500 0.500 0.500
Pb1 Pb 0.000 0.000 0.500
```